# H2SCl | Alexandria | PBE-GGA | optimized geometry
# space-group type = R-3m
# calculated total energy = -2.57 eV/atom
# energy above the lowest structure with this stoichiometry = 756.6 meV/atom
data_H2SCl
_space_group_name_H-M_alt 'P 1'
_space_group_IT_number 1
_space_group_name_Hall 'P 1'
_cell_length_a 5.939
_cell_length_b 5.939
_cell_length_c 5.939
_cell_angle_alpha 30.64
_cell_angle_beta 30.64
_cell_angle_gamma 30.64
loop_
_atom_site_label
_atom_site_type_symbol
_atom_site_fract_x
_atom_site_fract_y
_atom_site_fract_z
H1 H 0.089 0.089 0.089
H2 H 0.911 0.911 0.911
S1 S 0.500 0.500 0.500
Cl1 Cl 0.000 0.000 0.000